A plane-wave DFT calculation with PBE was carried out for KTlCu2I6 after structural relaxation.

## Properties
* DFT total energy: -2.53 eV/atom
* uncorrected formation energy: -0.4328 eV/atom
* volume: 44.0 Å³ per atom

a = 7.7915 Å, b = 7.7915 Å, c = 25.1170 Å
α = 90.00°, β = 90.00°, γ = 120.00°
With the nearest neighbours (Å) after each atom.
Space group R-3 (No. 148, hexagonal axes)
Symmetry-distinct sites (fractional):
K  0.0000  0.0000  0.0000 [3 per cell]  6 I 3.60
Tl  0.0000  0.0000  0.5000 [3 per cell]  6 I 3.15
Cu  0.0000  0.0000  0.2347 [6 per cell]  3 I 2.51
I  0.0048  0.3513  0.9059 [18 per cell]  1 Cu 2.51

A plane-wave DFT calculation with PBE was carried out for Na2La3HoSe6 after structural relaxation.

## Properties
* DFT total energy: -5.36 eV/atom
* uncorrected formation energy: -1.7843 eV/atom
* volume: 27.2 Å³ per atom

a = 7.4119 Å, b = 12.8131 Å, c = 7.2967 Å
α = 90.00°, β = 109.68°, γ = 90.00°
With the nearest neighbours (Å) after each atom.
Space group C2/m (No. 12)
Symmetry-distinct sites (fractional):
Na  0.0000  0.1653  0.0000 [4 per cell]  6 Se 2.99-3.01
La  0.0000  0.0000  0.5000 [2 per cell]  6 Se 3.02-3.09
La  0.0000  0.3290  0.5000 [4 per cell]  6 Se 3.03-3.07
Ho  0.0000  0.5000  0.0000 [2 per cell]  6 Se 2.91-2.92
Se  0.2408  0.5000  0.7545 [4 per cell]  1 Ho 2.92, 2 Na 3.01, 3 La 3.03-3.09
Se  0.2416  0.3381  0.2387 [8 per cell]  1 Ho 2.91, 2 Na 2.99-3.01, 3 La 3.02-3.07

A plane-wave DFT calculation with PBE was carried out for K2RbPb after structural relaxation.

## Properties
* DFT total energy: -1.76 eV/atom
* volume: 46.8 Å³ per atom

a = 9.0799 Å, b = 9.0799 Å, c = 9.0799 Å
α = 90.00°, β = 90.00°, γ = 90.00°
With the nearest neighbours (Å) after each atom.
Space group Fm-3m (No. 225)
Symmetry-distinct sites (fractional):
K  0.2500  0.2500  0.2500 [8 per cell]  4 Pb 3.93, 4 Rb 3.93
Rb  0.0000  0.0000  0.0000 [4 per cell]  8 K 3.93
Pb  0.0000  0.0000  0.5000 [4 per cell]  8 K 3.93

A plane-wave DFT calculation with PBE was carried out for TcRuSe2N after structural relaxation.

## Properties
* DFT total energy: -6.17 eV/atom
* uncorrected formation energy: 0.8204 eV/atom
* volume: 18.3 Å³ per atom

a = 4.9915 Å, b = 4.9915 Å, c = 3.6626 Å
α = 90.00°, β = 90.00°, γ = 90.00°
With the nearest neighbours (Å) after each atom.
Space group P4/mmm (No. 123)
Symmetry-distinct sites (fractional):
Tc  0.0000  0.0000  0.0000 [1 per cell]  2 N 1.83
Ru  0.5000  0.5000  0.5000 [1 per cell]  8 Se 3.10
Se  0.0000  0.5000  0.0000 [2 per cell]  2 Tc 2.50
N  0.0000  0.0000  0.5000 [1 per cell]  2 Tc 1.83

A plane-wave DFT calculation with PBE was carried out for Mg2InP2 after structural relaxation.

## Properties
* DFT total energy: -3.57 eV/atom
* volume: 19.0 Å³ per atom

a = 7.8281 Å, b = 7.8281 Å, c = 3.1066 Å
α = 90.00°, β = 90.00°, γ = 90.00°
With the nearest neighbours (Å) after each atom.
Space group P4/mbm (No. 127)
Symmetry-distinct sites (fractional):
Mg  0.1395  0.3605  0.0000 [4 per cell]  6 P 2.72-2.80
In  0.0000  0.0000  0.5000 [2 per cell]  4 P 2.95, 2 In 3.11
P  0.1582  0.6582  0.5000 [4 per cell]  6 Mg 2.72-2.80, 2 In 2.95

A plane-wave DFT calculation with PBE was carried out for TlCuRhF6 after structural relaxation.

## Properties
* DFT total energy: -4.40 eV/atom
* uncorrected formation energy: -1.6127 eV/atom
* volume: 17.3 Å³ per atom

a = 5.4737 Å, b = 5.4737 Å, c = 5.9825 Å
α = 90.00°, β = 90.00°, γ = 120.00°
With the nearest neighbours (Å) after each atom.
Space group P312 (No. 149)
Symmetry-distinct sites (fractional):
Tl  0.0000  0.0000  0.0000 [1 per cell]  6 F 2.77
Cu  0.3333  0.6667  0.5000 [1 per cell]  6 F 2.10
Rh  0.6667  0.3333  0.5000 [1 per cell]  6 F 2.01
F  0.3712  0.0124  0.6802 [6 per cell]  1 Rh 2.01, 1 Cu 2.10

A plane-wave DFT calculation with PBE was carried out for SmDyMgZn after structural relaxation.

## Properties
* DFT total energy: -3.22 eV/atom
* volume: 25.4 Å³ per atom

a = 7.4045 Å, b = 7.4045 Å, c = 7.4045 Å
α = 90.00°, β = 90.00°, γ = 90.00°
With the nearest neighbours (Å) after each atom.
Space group F-43m (No. 216)
Symmetry-distinct sites (fractional):
Sm  0.0000  0.0000  0.0000 [4 per cell]  4 Mg 3.21, 4 Zn 3.21
Dy  0.0000  0.0000  0.5000 [4 per cell]  4 Mg 3.21, 4 Zn 3.21
Mg  0.2500  0.2500  0.7500 [4 per cell]  4 Dy 3.21, 4 Sm 3.21
Zn  0.2500  0.2500  0.2500 [4 per cell]  4 Dy 3.21, 4 Sm 3.21

A plane-wave DFT calculation with PBE was carried out for TlNi3Ir after structural relaxation.

## Properties
* DFT total energy: -4.72 eV/atom
* volume: 19.6 Å³ per atom

a = 4.6078 Å, b = 4.6078 Å, c = 4.6078 Å
α = 90.00°, β = 90.00°, γ = 90.00°
With the nearest neighbours (Å) after each atom.
Space group Pm-3m (No. 221)
Symmetry-distinct sites (fractional):
Tl  0.0000  0.0000  0.0000 [1 per cell]  12 Ni 3.26
Ni  0.0000  0.5000  0.5000 [3 per cell]  2 Ir 2.30
Ir  0.5000  0.5000  0.5000 [1 per cell]  6 Ni 2.30